Here is an optimized crystal structure of GdDyZn2 from Alexandria via LeMat-Bulk. Energies are from GGA-PBE.

Values from the calculation:
Its spin magnetization is 1.970 μB/atom. As for the symmetry: P4/mmm, No. 123. The value obtained for the density of states at the Fermi level is 3.434 states/eV/cell. The calculation puts the energy above the most stable polymorph in this dataset at 0.00 eV per formula unit. As for the energy relative to the elements: -347 meV/atom.

abc: 3.605 5.057 5.057
angles: 90.00 90.00 90.00
Fractional coordinates of all 4 atoms:
Zn  0.000  0.000  0.500
Zn  0.000  0.500  0.000
Gd  0.500  0.000  0.000
Dy  0.500  0.500  0.500